Material: NiPF2
Method: DFT, GGA+U
State: relaxed

a b c (Å): 6.580 6.580 5.010
angles (deg): 90.00 90.00 90.00
Space group I-42d (No. 122)
Symmetry-distinct sites (fractional):
Ni1 0.000 0.000 0.000 [4 per cell]
P1 0.000 0.000 0.500 [4 per cell]
F1 0.155 0.250 0.125 [8 per cell]

Summary:
The offset from the most stable computed form comes out at 276 meV per atom.